No. 1
VASP calculation (PBE) on an optimized crystal structure of HfGeSb3.

Cell: 5.221 5.221 5.221 Å, 90.00 90.00 90.00°
Space group Pm-3m (No. 221)
Asymmetric unit:
1 Hf 0.000 0.000 0.000 [1 per cell]
2 Ge 0.500 0.500 0.500 [1 per cell]
3 Sb 0.000 0.500 0.500 [3 per cell]

Total magnetization ... 0.0 μB/cell
E_tot ... -4.578 eV per atom
Uncorrected formation energy ... 809 meV per atom
N(E_F) ... 4.565 states/eV per cell
Distance to the lowest polymorph of the same formula ... 300.7 meV/atom

***

No. 2
VASP calculation (PBE) on an optimized crystal structure of Hf6GeSb.

Cell: 9.8163 9.8163 6.3668 Å, 90.00 90.00 120.00°
Space group R-3m (No. 166, hexagonal axes)
Asymmetric unit:
1 Hf 0.0108 0.5054 0.2593 [18 per cell]
2 Ge 0.0000 0.0000 0.5000 [3 per cell]
3 Sb 0.0000 0.0000 0.0000 [3 per cell]

Total magnetization ... 0.0 μB/cell
E_tot ... -8.612 eV per atom
Uncorrected formation energy ... -55 meV per atom
N(E_F) ... 32.250 states/eV per cell